{
  "formula": "Li2TiNi2O5",
  "functional": "PBE+U",
  "state": "optimized geometry",
  "lattice_angstrom": [[2.547, -7.371, 0.000], [2.547, 7.371, 0.000], [-1.720, 0.000, 4.823]],
  "species": ["Li", "Li", "Li", "Li", "Ti", "Ti", "Ni", "Ni", "Ni", "Ni", "O", "O", "O", "O", "O", "O", "O", "O", "O", "O"],
  "fractional_positions": [[0.000, 0.000, 0.000], [0.401, 0.599, 0.000], [0.706, 0.294, 0.500], [0.900, 0.100, 0.500], [0.505, 0.495, 0.500], [0.809, 0.191, 0.000], [0.101, 0.899, 0.500], [0.200, 0.800, 0.000], [0.301, 0.699, 0.500], [0.599, 0.401, 0.000], [0.035, 0.437, 0.769], [0.146, 0.349, 0.250], [0.270, 0.266, 0.732], [0.350, 0.163, 0.258], [0.455, 0.048, 0.759], [0.563, 0.965, 0.231], [0.651, 0.854, 0.750], [0.734, 0.730, 0.268], [0.837, 0.650, 0.742], [0.952, 0.545, 0.241]],
  "dft_energy_ry_per_atom": -0.451,
  "de_polymorph_ev_per_fu": 0.08
}